# GGA-PBE Ac3PrSi2, optimized geometry
data_Ac3PrSi2
_chemical_formula_sum 'Ac3 Pr1 Si2'
_cell_length_a 4.7151
_cell_length_b 4.8512
_cell_length_c 9.2529
_cell_angle_alpha 105.19
_cell_angle_beta 104.79
_cell_angle_gamma 90.00
_space_group_name_H-M_alt 'P 1'
_space_group_IT_number 1
loop_
_space_group_symop_operation_xyz
'x,y,z'
loop_
_atom_site_label
_atom_site_fract_x
_atom_site_fract_y
_atom_site_fract_z
Ac1 0.5000 0.5000 0.0000
Ac2 0.8170 0.3173 0.6340
Ac3 0.1830 0.6827 0.3660
Pr1 0.0000 0.0000 0.0000
Si1 0.3691 0.8696 0.7389
Si2 0.6309 0.1304 0.2611
# E_form (uncorrected) ... -0.3694 eV/atom
# DOS(E_F) ... 1.108 states/eV per atom
# Calculated total energy ... -5.03 eV per atom
# Spin magnetization ... 0.00 μB per cell

# GGA-PBE Zn2InN, optimized geometry
data_Zn2InN
_chemical_formula_sum 'Zn4 In2 N2'
_cell_length_a 5.9154
_cell_length_b 5.9154
_cell_length_c 5.9481
_cell_angle_alpha 60.18
_cell_angle_beta 60.18
_cell_angle_gamma 90.00
_space_group_name_H-M_alt 'P 1'
_space_group_IT_number 1
loop_
_space_group_symop_operation_xyz
'x,y,z'
loop_
_atom_site_label
_atom_site_fract_x
_atom_site_fract_y
_atom_site_fract_z
Zn1 0.4886 0.1250 0.2500
Zn2 0.2614 0.6250 0.2500
Zn3 0.3750 0.5114 0.7500
Zn4 0.8750 0.7386 0.7500
N1 0.5000 0.5000 0.0000
N2 0.2500 0.7500 0.5000
In1 0.0000 0.0000 0.0000
In2 0.7500 0.2500 0.5000
# E_form (uncorrected) ... 0.1826 eV/atom
# DOS(E_F) ... 0.052 states/eV per atom
# Calculated total energy ... -3.22 eV per atom
# Polymorph energy (0 for the lowest one) ... 0 meV per atom
# Spin magnetization ... 0.00 μB per cell

# GGA-PBE ZnCo2Ir, optimized geometry
data_ZnCo2Ir
_chemical_formula_sum 'Zn1 Co2 Ir1'
_cell_length_a 2.6088
_cell_length_b 2.6088
_cell_length_c 8.5740
_cell_angle_alpha 90.00
_cell_angle_beta 90.00
_cell_angle_gamma 116.52
_space_group_name_H-M_alt 'P 1'
_space_group_IT_number 1
loop_
_space_group_symop_operation_xyz
'x,y,z'
loop_
_atom_site_label
_atom_site_fract_x
_atom_site_fract_y
_atom_site_fract_z
Co1 0.0000 0.0000 0.9976
Co2 0.0000 0.0000 0.5024
Ir1 0.5000 0.5000 0.2500
Zn1 0.5000 0.5000 0.7500
# Formation energy from the elements ... 0.170 eV per atom
# DOS(E_F) ... 1.152 states/eV per atom
# Calculated total energy ... -5.92 eV per atom
# Spin magnetization ... 4.02 μB per cell